## i
ZnCdPt3: optimized geometry, PBE.

Cell lengths 4.941, 4.941, 4.941 Å; angles 90.00, 90.00, 90.00 degrees
Fractional coordinates of all 5 atoms:
Zn: 0.000 0.000 0.000
Cd: 0.500 0.500 0.500
Pt: 0.000 0.500 0.500
Pt: 0.500 0.000 0.500
Pt: 0.500 0.500 0.000

Values from the calculation:
* size of the total moment: 0.00 μB per formula unit
* DOS at the Fermi energy: 0.19 states/eV per atom


## ii
ZnCdPt3: optimized geometry, PBE.

Cell lengths 4.633, 4.633, 4.633 Å; angles 90.00, 90.00, 90.00 degrees
Fractional coordinates of all 5 atoms:
Zn: 0.000 0.000 0.000
Cd: 0.500 0.500 0.500
Pt: 0.000 0.000 0.500
Pt: 0.000 0.500 0.000
Pt: 0.500 0.000 0.000

Values from the calculation:
* size of the total moment: 0.00 μB per formula unit
* DOS at the Fermi energy: 0.20 states/eV per atom


Ordering by calculated energy gives the sequence ii, i, with the first entry being the most stable.